[1]
## TlGeAsPt (PBE)

Data for crystalline TlGeAsPt at its relaxed geometry.

Results
space-group type	No. 1
V	101.77	Å³/cell
total moment	0.00	μB per cell
N(E_F)	0.324	states/eV/atom
formation enthalpy at 0 K	-3.1	kJ/mol of atoms

abc: 4.032 4.747 5.591
angles: 82.38 89.15 73.66
Element x y z (fractional)
Tl 0.000 0.000 0.000
Ge 0.574 0.580 0.559
As 0.105 0.415 0.318
Pt 0.493 0.078 0.647

[2]
## TlGeAsPt (PBE)

Data for crystalline TlGeAsPt at its relaxed geometry.

Results
space-group type	No. 8
V	180.34	Å³/cell
total moment	0.00	μB per cell
N(E_F)	0.253	states/eV/atom
formation enthalpy at 0 K	-1.2	kJ/mol of atoms

abc: 8.133 4.626 4.824
angles: 90.00 96.44 90.00
Element x y z (fractional)
Tl 0.000 0.000 0.000
Tl 0.500 0.500 0.000
Ge 0.378 0.000 0.250
Ge 0.878 0.500 0.250
As 0.134 0.500 0.599
As 0.634 0.000 0.599
Pt 0.290 0.000 0.723
Pt 0.790 0.500 0.723

[3]
## TlGeAsPt (PBE)

Data for crystalline TlGeAsPt at its relaxed geometry.

Results
space-group type	No. 6
V	90.69	Å³/cell
total moment	0.00	μB per cell
N(E_F)	0.448	states/eV/atom
formation enthalpy at 0 K	-0.5	kJ/mol of atoms

abc: 3.814 2.944 8.302
angles: 90.00 103.38 90.00
Element x y z (fractional)
Tl 0.000 0.000 0.000
Ge 0.261 0.000 0.538
As 0.661 0.000 0.339
Pt 0.392 0.500 0.783

[4]
## TlGeAsPt (PBE)

Data for crystalline TlGeAsPt at its relaxed geometry.

Results
space-group type	No. 1
V	90.18	Å³/cell
total moment	0.00	μB per cell
N(E_F)	0.379	states/eV/atom
formation enthalpy at 0 K	-7.6	kJ/mol of atoms

abc: 3.124 4.108 7.742
angles: 83.29 78.69 67.94
Element x y z (fractional)
Tl 0.000 0.000 0.000
Ge 0.422 0.465 0.694
As 0.580 0.493 0.338
Pt 0.211 0.055 0.517

[5]
## TlGeAsPt (PBE)

Data for crystalline TlGeAsPt at its relaxed geometry.

Results
space-group type	No. 1
V	93.95	Å³/cell
total moment	0.00	μB per cell
N(E_F)	0.321	states/eV/atom
formation enthalpy at 0 K	-7.8	kJ/mol of atoms

abc: 3.818 4.109 6.425
angles: 101.79 107.27 90.66
Element x y z (fractional)
Tl 0.000 0.000 0.000
Ge 0.701 0.582 0.399
As 0.287 0.363 0.578
Pt 0.496 0.500 0.993

[6]
## ZnGeAs2Pt (PBE)

Data for crystalline ZnGeAs2Pt at its relaxed geometry.

Results
space-group type	No. 123
V	116.25	Å³/cell
total moment	0.00	μB per cell
N(E_F)	1.203	states/eV/atom
formation enthalpy at 0 K	74.9	kJ/mol of atoms

abc: 4.980 4.980 4.687
angles: 90.00 90.00 90.00
Element x y z (fractional)
Zn 0.000 0.000 0.000
Ge 0.500 0.500 0.500
As 0.000 0.500 0.500
As 0.500 0.000 0.500
Pt 0.500 0.500 0.000

[7]
## PuGeAs2 (PBE)

Data for crystalline PuGeAs2 at its relaxed geometry.

Results
space-group type	No. 62
V	337.80	Å³/cell
total moment	0.00	μB per cell
N(E_F)	0.919	states/eV/atom
formation enthalpy at 0 K	-6.4	kJ/mol of atoms

abc: 5.808 3.555 16.359
angles: 90.00 90.00 90.00
Element x y z (fractional)
Pu 0.082 0.250 0.039
Pu 0.418 0.750 0.539
Pu 0.582 0.250 0.461
Pu 0.918 0.750 0.961
Ge 0.245 0.750 0.329
Ge 0.255 0.250 0.829
Ge 0.745 0.750 0.171
Ge 0.755 0.250 0.671
As 0.093 0.250 0.434
As 0.182 0.750 0.167
As 0.318 0.250 0.667
As 0.407 0.750 0.934
As 0.593 0.250 0.066
As 0.682 0.750 0.333
As 0.818 0.250 0.833
As 0.907 0.750 0.566

[8]
## Pu2GeAs (PBE)

Data for crystalline Pu2GeAs at its relaxed geometry.

Results
space-group type	No. 225
V	355.19	Å³/cell
total moment	43.67	μB per cell
N(E_F)	3.930	states/eV/atom
formation enthalpy at 0 K	-51.6	kJ/mol of atoms

abc: 7.082 7.082 7.082
angles: 90.00 90.00 90.00
Element x y z (fractional)
Pu 0.250 0.250 0.250
Pu 0.250 0.250 0.750
Pu 0.250 0.750 0.250
Pu 0.250 0.750 0.750
Pu 0.750 0.250 0.250
Pu 0.750 0.250 0.750
Pu 0.750 0.750 0.250
Pu 0.750 0.750 0.750
Ge 0.000 0.000 0.000
Ge 0.000 0.500 0.500
Ge 0.500 0.000 0.500
Ge 0.500 0.500 0.000
As 0.000 0.000 0.500
As 0.000 0.500 0.000
As 0.500 0.000 0.000
As 0.500 0.500 0.500

[9]
## Pu2GeAs (PBE)

Data for crystalline Pu2GeAs at its relaxed geometry.

Results
space-group type	No. 63
V	395.91	Å³/cell
total moment	44.08	μB per cell
N(E_F)	4.400	states/eV/atom
formation enthalpy at 0 K	-68.0	kJ/mol of atoms

abc: 4.317 22.518 4.073
angles: 90.00 90.00 90.00
Element x y z (fractional)
Pu 0.000 0.062 0.250
Pu 0.000 0.318 0.250
Pu 0.000 0.682 0.750
Pu 0.000 0.938 0.750
Pu 0.500 0.182 0.750
Pu 0.500 0.438 0.750
Pu 0.500 0.562 0.250
Pu 0.500 0.818 0.250
Ge 0.000 0.461 0.250
Ge 0.000 0.539 0.750
Ge 0.500 0.039 0.750
Ge 0.500 0.961 0.250
As 0.000 0.189 0.250
As 0.000 0.811 0.750
As 0.500 0.311 0.750
As 0.500 0.689 0.250

[10]
## Pu4Ge2As (PBE)

Data for crystalline Pu4Ge2As at its relaxed geometry.

Results
space-group type	No. 122
V	334.61	Å³/cell
total moment	42.05	μB per cell
N(E_F)	3.549	states/eV/atom
formation enthalpy at 0 K	-56.6	kJ/mol of atoms

abc: 7.575 7.575 7.575
angles: 109.50 109.50 109.42
Element x y z (fractional)
Pu 0.125 0.222 0.749
Pu 0.126 0.723 0.751
Pu 0.277 0.028 0.403
Pu 0.473 0.376 0.251
Pu 0.624 0.875 0.097
Pu 0.625 0.874 0.597
Pu 0.778 0.527 0.903
Pu 0.972 0.375 0.249
Ge 0.250 0.625 0.125
Ge 0.375 0.500 0.625
Ge 0.500 0.125 0.875
Ge 0.875 0.750 0.375
As 0.000 0.000 0.000
As 0.750 0.250 0.500

[11]
## Pu5GeAs4 (PBE)

Data for crystalline Pu5GeAs4 at its relaxed geometry.

Results
space-group type	No. 87
V	251.89	Å³/cell
total moment	15.07	μB per cell
N(E_F)	5.201	states/eV/atom
formation enthalpy at 0 K	-80.4	kJ/mol of atoms

abc: 7.184 7.184 7.184
angles: 99.54 99.54 131.95
Element x y z (fractional)
Pu 0.000 0.000 0.000
Pu 0.197 0.602 0.799
Pu 0.398 0.197 0.594
Pu 0.602 0.803 0.406
Pu 0.803 0.398 0.201
Ge 0.500 0.500 0.000
As 0.101 0.301 0.402
As 0.301 0.899 0.200
As 0.699 0.101 0.800
As 0.899 0.699 0.598

[12]
## Pu3GeAs (PBE)

Data for crystalline Pu3GeAs at its relaxed geometry.

Results
space-group type	No. 15
V	489.27	Å³/cell
total moment	23.67	μB per cell
N(E_F)	4.236	states/eV/atom
formation enthalpy at 0 K	-44.7	kJ/mol of atoms

abc: 7.657 7.657 8.347
angles: 90.07 90.07 89.19
Element x y z (fractional)
Pu 0.027 0.812 0.583
Pu 0.065 0.435 0.843
Pu 0.188 0.973 0.917
Pu 0.310 0.524 0.417
Pu 0.435 0.065 0.343
Pu 0.476 0.690 0.083
Pu 0.524 0.310 0.917
Pu 0.565 0.935 0.657
Pu 0.690 0.476 0.583
Pu 0.812 0.027 0.083
Pu 0.935 0.565 0.157
Pu 0.973 0.188 0.417
Ge 0.207 0.290 0.138
Ge 0.290 0.207 0.638
Ge 0.710 0.793 0.362
Ge 0.793 0.710 0.862
As 0.152 0.848 0.250
As 0.350 0.650 0.750
As 0.650 0.350 0.250
As 0.848 0.152 0.750